The following is a DFT calculation (PBE) of a relaxed structure of Sc3Sb2H2.

Cell: 7.507 5.920 5.877 Å, 90.00 67.58 90.00°
Sites, in units of the cell vectors:
Sc  0.500  0.500  0.000
Sc  0.000  0.000  0.000
Sc  0.792  0.152  0.614
Sc  0.708  0.652  0.386
Sc  0.292  0.348  0.614
Sc  0.208  0.848  0.386
Sb  0.904  0.588  0.801
Sb  0.404  0.912  0.801
Sb  0.596  0.088  0.199
Sb  0.096  0.412  0.199
H  0.568  0.400  0.640
H  0.932  0.900  0.360
H  0.068  0.100  0.640
H  0.432  0.600  0.360

Total moment = 0.00 μB per formula unit
Electronic total energy = -0.4088 Ry/atom